(A)
Compound: KZn2Au2
Source: Alexandria via LeMat-Bulk
Functional: GGA-PBEsol
Structure: optimized geometry

Results
Symmetry: No. 139
Crystal system: tetragonal

abc: 6.3307 6.3307 6.3307
angles: 139.37 139.37 58.81
Sites, in units of the cell vectors:
K 0.0000 0.0000 0.0000
Zn 0.2500 0.7500 0.5000
Zn 0.7500 0.2500 0.5000
Au 0.3760 0.3760 0.0000
Au 0.6240 0.6240 0.0000

(B)
Compound: KZn2Au2
Source: Alexandria via LeMat-Bulk
Functional: GGA-PBEsol
Structure: optimized geometry

Results
Symmetry: No. 127
Crystal system: tetragonal

abc: 8.2044 8.2044 2.7443
angles: 90.00 90.00 90.00
Sites, in units of the cell vectors:
K 0.0000 0.0000 0.0000
K 0.5000 0.5000 0.0000
Zn 0.1238 0.3762 0.5000
Zn 0.3762 0.8762 0.5000
Zn 0.6238 0.1238 0.5000
Zn 0.8762 0.6238 0.5000
Au 0.1687 0.6687 0.0000
Au 0.3313 0.1687 0.0000
Au 0.6687 0.8313 0.0000
Au 0.8313 0.3313 0.0000

Least stable structure: (B)

(A)
Compound: K2ZnAu
Source: Alexandria via LeMat-Bulk
Functional: GGA-PBEsol
Structure: optimized geometry

Results
Symmetry: No. 38
Crystal system: orthorhombic

abc: 4.5971 6.3540 6.3540
angles: 44.96 90.00 90.00
Sites, in units of the cell vectors:
K 0.0000 0.0000 0.0000
K 0.5000 0.2975 0.2975
Zn 0.0000 0.6926 0.6926
Au 0.5000 0.6007 0.6007

(B)
Compound: K2ZnAu
Source: Alexandria via LeMat-Bulk
Functional: GGA-PBEsol
Structure: optimized geometry

Results
Symmetry: No. 12
Crystal system: monoclinic

abc: 4.6672 4.6672 8.8751
angles: 96.51 96.51 43.63
Sites, in units of the cell vectors:
K 0.2432 0.2432 0.2278
K 0.7568 0.7568 0.7722
Zn 0.0000 0.0000 0.5000
Au 0.5000 0.5000 0.0000

Least stable structure: (B)

(A)
Compound: K2ZnAu
Source: Alexandria via LeMat-Bulk
Functional: GGA-PBEsol
Structure: optimized geometry

Results
Symmetry: No. 139
Crystal system: tetragonal

abc: 5.5714 5.5714 5.5714
angles: 120.63 120.63 88.92
Sites, in units of the cell vectors:
K 0.2500 0.7500 0.5000
K 0.7500 0.2500 0.5000
Zn 0.0000 0.0000 0.0000
Au 0.5000 0.5000 0.0000

(B)
Compound: K2ZnAu
Source: Alexandria via LeMat-Bulk
Functional: GGA-PBEsol
Structure: optimized geometry

Results
Symmetry: No. 44
Crystal system: orthorhombic

abc: 6.5064 6.5064 6.5064
angles: 142.28 131.47 63.05
Sites, in units of the cell vectors:
K 0.0000 0.0000 0.0000
K 0.7022 0.2022 0.5000
Zn 0.2937 0.7937 0.5000
Au 0.4198 0.4198 0.0000

Least stable structure: (A)

(A)
Compound: K2ZrAu
Source: Alexandria via LeMat-Bulk
Functional: GGA-PBEsol
Structure: optimized geometry

Results
Symmetry: No. 216
Crystal system: cubic

abc: 5.2524 5.2524 5.2524
angles: 60.00 60.00 60.00
Sites, in units of the cell vectors:
K 0.0000 0.0000 0.0000
K 0.2500 0.2500 0.2500
Zr 0.5000 0.5000 0.5000
Au 0.7500 0.7500 0.7500

(B)
Compound: K2ZrAu
Source: Alexandria via LeMat-Bulk
Functional: GGA-PBEsol
Structure: optimized geometry

Results
Symmetry: No. 10
Crystal system: monoclinic

abc: 4.5588 3.7653 6.0726
angles: 90.00 90.09 90.00
Sites, in units of the cell vectors:
K 0.0000 0.0000 0.0000
K 0.5000 0.5000 0.0000
Zr 0.0000 0.5000 0.5000
Au 0.5000 0.0000 0.5000

Least stable structure: (A)

(A)
Compound: K2ZrAu
Source: Alexandria via LeMat-Bulk
Functional: GGA-PBEsol
Structure: optimized geometry

Results
Symmetry: No. 10
Crystal system: monoclinic

abc: 3.1878 6.2162 5.2595
angles: 90.00 92.30 90.00
Sites, in units of the cell vectors:
K 0.2408 0.0000 0.2635
K 0.7592 0.0000 0.7365
Zr 0.5000 0.5000 0.0000
Au 0.0000 0.5000 0.5000

(B)
Compound: K2ZrAu
Source: Alexandria via LeMat-Bulk
Functional: GGA-PBEsol
Structure: optimized geometry

Results
Symmetry: No. 8
Crystal system: monoclinic

abc: 4.9857 4.9857 9.7403
angles: 103.38 103.38 41.52
Sites, in units of the cell vectors:
K 0.0000 0.0000 0.0000
K 0.1538 0.1538 0.5937
Zr 0.8057 0.8057 0.2969
Au 0.5199 0.5199 0.2969

(C)
Compound: K2ZrAu
Source: Alexandria via LeMat-Bulk
Functional: GGA-PBEsol
Structure: optimized geometry

Results
Symmetry: No. 225
Crystal system: cubic

abc: 5.5850 5.5850 5.5850
angles: 60.00 60.00 60.00
Sites, in units of the cell vectors:
K 0.2500 0.2500 0.2500
K 0.7500 0.7500 0.7500
Zr 0.0000 0.0000 0.0000
Au 0.5000 0.5000 0.5000

Least stable structure: (C)

(A)
Compound: KZrAu2
Source: Alexandria via LeMat-Bulk
Functional: GGA-PBEsol
Structure: optimized geometry

Results
Symmetry: No. 225
Crystal system: cubic

abc: 4.9370 4.9370 4.9370
angles: 60.00 60.00 60.00
Sites, in units of the cell vectors:
K 0.0000 0.0000 0.0000
Zr 0.5000 0.5000 0.5000
Au 0.2500 0.2500 0.2500
Au 0.7500 0.7500 0.7500

(B)
Compound: KZrAu2
Source: Alexandria via LeMat-Bulk
Functional: GGA-PBEsol
Structure: optimized geometry

Results
Symmetry: No. 8
Crystal system: monoclinic

abc: 5.8250 5.8250 5.3635
angles: 102.07 102.07 28.31
Sites, in units of the cell vectors:
K 0.0000 0.0000 0.0000
Zr 0.2031 0.2031 0.6043
Au 0.4636 0.4636 0.4866
Au 0.7549 0.7549 0.1315

Least stable structure: (A)